[1]
Computed, not measured: a relaxed Rb2CaAu crystal at the PBE level of DFT.

The value obtained for the energy relative to the elements is 0.0565 eV/atom. The total magnetic moment is 0.00 Bohr magnetons per cell. The calculation puts the density of states at the Fermi level at 3.2 states/eV per cell.

Lattice parameters (Å, degrees): 4.324 4.324 13.189 80.57 80.57 60.00
Fractional positions:
Ca1 0.000 0.000 0.000
Au1 0.500 0.500 0.500
Rb1 0.107 0.107 0.678
Rb2 0.893 0.893 0.322

=====

[2]
Computed, not measured: a relaxed RbCa3Au crystal at the PBE level of DFT.

The value obtained for the energy relative to the elements is -0.2622 eV/atom. The total magnetic moment is 0.00 Bohr magnetons per cell. The calculation puts the density of states at the Fermi level at 4.4 states/eV per cell.

Lattice parameters (Å, degrees): 5.959 5.959 5.959 90.00 90.00 90.00
Fractional positions:
Ca1 0.000 0.500 0.000
Ca2 0.000 0.000 0.500
Ca3 0.500 0.000 0.000
Au1 0.000 0.000 0.000
Rb1 0.500 0.500 0.500

=====

[3]
Computed, not measured: a relaxed RbCaAu2 crystal at the PBE level of DFT.

The value obtained for the energy relative to the elements is -0.5375 eV/atom. The total magnetic moment is 0.00 Bohr magnetons per cell. The calculation puts the density of states at the Fermi level at 1.4 states/eV per cell.

Lattice parameters (Å, degrees): 3.838 3.838 8.139 90.00 90.00 90.00
Fractional positions:
Ca1 0.500 0.500 0.000
Au1 0.000 0.000 0.814
Au2 0.000 0.000 0.186
Rb1 0.500 0.500 0.500

=====

[4]
Computed, not measured: a relaxed RbCaAu crystal at the PBE level of DFT.

The value obtained for the energy relative to the elements is -0.4135 eV/atom. The total magnetic moment is 0.00 Bohr magnetons per cell. The calculation puts the density of states at the Fermi level at 2.1 states/eV per cell.

Lattice parameters (Å, degrees): 5.197 5.197 8.588 90.00 90.00 90.00
Fractional positions:
Rb1 0.000 0.500 0.877
Rb2 0.500 0.000 0.123
Au1 0.000 0.500 0.315
Au2 0.500 0.000 0.685
Ca1 0.500 0.500 0.500
Ca2 0.000 0.000 0.500

=====

[5]
Computed, not measured: a relaxed RbCaAu2 crystal at the PBE level of DFT.

The value obtained for the energy relative to the elements is -0.4103 eV/atom. The total magnetic moment is 0.00 Bohr magnetons per cell. The calculation puts the density of states at the Fermi level at 1.7 states/eV per cell.

Lattice parameters (Å, degrees): 4.348 4.348 8.694 75.52 75.52 60.00
Fractional positions:
Rb1 0.498 0.498 0.506
Ca1 0.668 0.668 0.996
Au1 0.067 0.067 0.799
Au2 0.267 0.267 0.198

=====

[6]
Computed, not measured: a relaxed RbCaAu4 crystal at the PBE level of DFT.

The value obtained for the energy relative to the elements is -0.3224 eV/atom. The total magnetic moment is 0.00 Bohr magnetons per cell. The calculation puts the density of states at the Fermi level at 5.8 states/eV per cell.

Lattice parameters (Å, degrees): 5.841 5.841 5.841 60.00 60.00 60.00
Fractional positions:
Ca1 0.250 0.250 0.250
Au1 0.625 0.625 0.126
Au2 0.625 0.126 0.625
Au3 0.625 0.625 0.625
Au4 0.126 0.625 0.625
Rb1 0.000 0.000 0.000

=====

no.,calculated volume (Å³/atom)
1,52.42
2,42.33
3,29.98
4,38.66
5,34.07
6,23.49